Computed, not measured: a relaxed structure of ZnW5 at the GGA-PBE level of DFT.

Properties
The calculation puts the total magnetic moment at 0.000 μB per formula unit. As for the relative energy among the computed polymorphs: 0.000 eV/atom. As for the volume: 95.09 Å³/cell. The formation energy from the elements is 203 meV/atom. The value obtained for the total energy is -64.8 eV per cell. The density of states at the Fermi level is 3.203 states/eV per cell.

Structure (POSCAR):
```
ZnW5
1.0
2.218 -6.647 0.000
2.218 6.647 0.000
0.000 0.000 3.225
W Zn
5 1
Direct
0.664 0.336 0.000
0.832 0.168 0.500
0.168 0.832 0.500
0.500 0.500 0.500
0.336 0.664 0.000
0.000 0.000 0.000
```